Material: Ac3PaSe6
Method: DFT, GGA-PBE
State: relaxed

POSCAR file:
```
Ac3PaSe6
1.0
6.0945 -7.3412 0.0000
6.0945 7.3412 0.0000
0.0000 0.0000 7.4878
Ac Pa Se
6 2 12
Direct
0.1006 0.8994 0.5000
0.2055 0.4126 0.5970
0.4126 0.2055 0.0970
0.5874 0.7945 0.5970
0.7945 0.5874 0.0970
0.8994 0.1006 0.0000
0.3448 0.6552 0.1025
0.6552 0.3448 0.6025
0.0872 0.5970 0.2910
0.1318 0.1882 0.2978
0.1882 0.1318 0.7978
0.2713 0.7287 0.7578
0.4030 0.9128 0.2910
0.4915 0.5085 0.3628
0.5085 0.4915 0.8628
0.5970 0.0872 0.7910
0.7287 0.2713 0.2578
0.8118 0.8682 0.2978
0.8682 0.8118 0.7978
0.9128 0.4030 0.7910
```

Values from the calculation:
The calculated volume comes out at 33.501 Å³ per atom. The density comes out at 6.9 g cm⁻³. As for the total moment: 0.20 μB/atom. As for the space-group type: Cmc2_1 (36).



Material: AcTeAs
Method: DFT, GGA-PBE
State: relaxed

POSCAR file:
```
AcTeAs
1.0
4.3524 0.0000 0.0000
0.0000 4.3524 0.0000
0.0000 0.0000 10.7016
Ac Te As
2 2 2
Direct
0.0000 0.0000 0.0000
0.5000 0.5000 0.5000
0.0000 0.0000 0.3345
0.5000 0.5000 0.8345
0.0000 0.0000 0.5863
0.5000 0.5000 0.0863
```

Values from the calculation:
The calculated volume comes out at 33.787 Å³ per atom. The density comes out at 7.0 g cm⁻³. As for the total moment: 0.00 μB/atom. As for the space-group type: I4mm (107).



Material: Cs2DyInSe4
Method: DFT, GGA-PBE
State: relaxed

POSCAR file:
```
Cs2DyInSe4
1.0
-4.4654 4.5322 6.4416
4.4654 -4.5322 6.4416
4.4654 4.5322 -6.4416
Cs Dy In Se
4 2 2 8
Direct
0.0000 0.0000 0.0000
0.5000 0.0000 0.0000
0.5000 0.0000 0.5000
0.5000 0.5000 0.5000
0.0000 0.0000 0.5000
0.0000 0.5000 0.0000
0.0000 0.5000 0.5000
0.5000 0.5000 0.0000
0.1885 0.7302 0.4583
0.2281 0.2698 0.9583
0.2298 0.2753 0.5455
0.2298 0.6843 0.9545
0.7702 0.3157 0.0455
0.7702 0.7247 0.4545
0.7719 0.7302 0.0417
0.8115 0.2698 0.5417
```

Values from the calculation:
The calculated volume comes out at 32.592 Å³ per atom. The density comes out at 5.5 g cm⁻³. As for the total moment: 0.00 μB/atom. As for the space-group type: Imma (74).



Short version: raw formation energy = -1.740; -0.991; -1.145 eV per atom, in the order given.